Entry 1:
## V2Mo13 (PBE)

Data for crystalline V2Mo13 at its relaxed geometry.

Fermi-level density of states: 0.50 states/eV per atom
Formation energy: -75 meV/atom

Unit cell a=5.207 b=7.027 c=7.039 alpha=66.42 beta=82.25 gamma=82.25
Space group P-1 (No. 2)
One atom of each set of equivalent atoms:
V  0.132  0.467  0.302 (multiplicity 2)
Mo  0.000  0.000  0.500 (multiplicity 1)
Mo  0.065  0.731  0.901 (multiplicity 2)
Mo  0.199  0.203  0.698 (multiplicity 2)
Mo  0.266  0.931  0.100 (multiplicity 2)
Mo  0.331  0.664  0.501 (multiplicity 2)
Mo  0.400  0.401  0.900 (multiplicity 2)
Mo  0.465  0.135  0.300 (multiplicity 2)

=====

Entry 2:
## V3Mo2 (PBE)

Data for crystalline V3Mo2 at its relaxed geometry.

Fermi-level density of states: 1.25 states/eV per atom
Formation energy: 382 meV/atom
Polymorph energy (0 for the lowest one): 76 meV per atom

Unit cell a=5.228 b=8.675 c=6.628 alpha=90.00 beta=90.00 gamma=90.00
Space group Cmce (No. 64)
One atom of each set of equivalent atoms:
V  0.000  0.000  0.000 (multiplicity 4)
V  0.250  0.132  0.250 (multiplicity 8)
Mo  0.000  0.144  0.606 (multiplicity 8)